CsZrPd3 after structural relaxation. Source: Alexandria via LeMat-Bulk, functional PBE.

a = 5.193 Å, b = 5.193 Å, c = 5.193 Å
α = 90.00°, β = 90.00°, γ = 90.00°
Fractional positions:
Cs 0.000 0.000 0.000
Zr 0.500 0.500 0.500
Pd 0.000 0.500 0.500
Pd 0.500 0.000 0.500
Pd 0.500 0.500 0.000

The value obtained for the formation enthalpy at 0 K is 370 meV per atom.